# Ac5InPb2, relaxed, DFT PBE
data_Ac5InPb2
_space_group_name_H-M_alt 'I 4/m c m'
_space_group_IT_number 140
_space_group_name_Hall '-I 4 2c'
_cell_length_a 8.9319
_cell_length_b 8.9319
_cell_length_c 15.5809
_cell_angle_alpha 90.00
_cell_angle_beta 90.00
_cell_angle_gamma 90.00
loop_
_atom_site_label
_atom_site_fract_x
_atom_site_fract_y
_atom_site_fract_z
Ac1 0.0000 0.0000 0.0000
Ac2 0.1668 0.3332 0.1492
In1 0.0000 0.0000 0.2500
Pb1 0.1334 0.3666 0.5000
# Calculated total energy   -135.8 eV/cell
# E_form   -0.406 eV per atom